A plane-wave DFT calculation with PBE was carried out for an optimized crystal structure of PrBiO4.

The structure in POSCAR format:
```
PrBiO4
1.0
5.681 0.000 0.000
0.000 5.453 0.000
-0.842 0.000 5.638
O Pr Bi
8 2 2
direct
0.827 0.793 0.759
0.173 0.207 0.241
0.688 0.335 0.867
0.827 0.707 0.259
0.173 0.293 0.741
0.312 0.665 0.133
0.688 0.165 0.367
0.312 0.835 0.633
0.500 0.500 0.500
0.500 0.000 0.000
0.000 0.000 0.500
0.000 0.500 0.000
```

Calculated volume = 14.6 Å³ per atom
Theoretical density = 7.9 g cm⁻³

A plane-wave DFT calculation with PBE was carried out for an optimized crystal structure of Pr2BiO4.

The structure in POSCAR format:
```
Pr2BiO4
1.0
5.098 -5.101 0.000
-5.098 0.000 -5.101
5.098 5.101 0.000
Pr O Bi
4 8 2
direct
0.375 0.750 0.625
0.375 0.250 0.625
0.875 0.250 0.625
0.375 0.750 0.125
0.610 0.780 0.390
0.610 0.220 0.390
0.140 0.720 0.860
0.610 0.220 0.830
0.170 0.780 0.390
0.580 0.720 0.860
0.140 0.280 0.420
0.140 0.280 0.860
0.750 0.500 0.250
0.000 0.000 0.000
```

Calculated volume = 19.0 Å³ per atom
Theoretical density = 6.9 g cm⁻³

A plane-wave DFT calculation with PBE was carried out for an optimized crystal structure of PrBiSO2.

The structure in POSCAR format:
```
PrBiSO2
1.0
-3.848 -0.597 -0.814
1.581 -1.482 3.336
-1.595 5.757 3.313
O Bi S Pr
2 1 1 1
direct
0.333 0.667 0.373
0.667 0.333 0.628
0.333 0.667 0.722
0.000 0.000 0.000
0.667 0.333 0.277
```

Calculated volume = 18.7 Å³ per atom
Theoretical density = 7.3 g cm⁻³

A plane-wave DFT calculation with PBE was carried out for an optimized crystal structure of PrBiSO2.

The structure in POSCAR format:
```
PrBiSO2
1.0
-1.936 1.936 6.979
1.936 -1.936 6.979
1.936 1.936 -6.979
Pr S O Bi
1 1 2 1
direct
0.669 0.669 0.000
0.300 0.300 0.000
0.268 0.768 0.500
0.768 0.268 0.500
0.995 0.995 0.000
```

Calculated volume = 20.9 Å³ per atom
Theoretical density = 6.6 g cm⁻³

DFT total energy across the listed records, respectively: -6.676; -7.117; -6.557; -5.478 eV per atom.